(1)
Density functional theory data (PBE-GGA) for crystalline BiMo2I2 at its relaxed geometry.

Summary:
The value obtained for the uncorrected formation energy is 0.84 eV per atom. The magnetic moment comes out at 0.1469 μB per atom.

Geometry as POSCAR:
```
BiMo2I2
1.0
4.8936 0.0000 0.0000
0.0000 4.8936 0.0000
0.0000 0.0000 11.0179
Bi Mo I
2 4 4
direct
0.0000 0.0000 0.0000
0.5000 0.5000 0.5000
0.0000 0.0000 0.4005
0.0000 0.0000 0.5995
0.5000 0.5000 0.0995
0.5000 0.5000 0.9005
0.0000 0.5000 0.2500
0.0000 0.5000 0.7500
0.5000 0.0000 0.2500
0.5000 0.0000 0.7500
```

(2)
Density functional theory data (PBE-GGA) for crystalline BiMo2I2 at its relaxed geometry.

Summary:
The value obtained for the uncorrected formation energy is 0.84 eV per atom. The magnetic moment comes out at 0.0000 μB per atom.

Geometry as POSCAR:
```
BiMo2I2
1.0
7.6204 0.0000 0.0000
0.0000 7.6204 0.0000
0.0000 0.0000 4.5248
Bi Mo I
2 4 4
direct
0.0000 0.0000 0.0000
0.5000 0.5000 0.0000
0.1021 0.3979 0.0000
0.3979 0.8979 0.0000
0.6021 0.1021 0.0000
0.8979 0.6021 0.0000
0.1578 0.6578 0.5000
0.3422 0.1578 0.5000
0.6578 0.8422 0.5000
0.8422 0.3422 0.5000
```

(3)
Density functional theory data (PBE-GGA) for crystalline BiMoI2N at its relaxed geometry.

Summary:
The energy above the most stable polymorph in this dataset is 999 meV per atom. The value obtained for the uncorrected formation energy is 1.40 eV per atom. The magnetic moment comes out at 0.9470 μB per atom.

Geometry as POSCAR:
```
BiMoI2N
1.0
6.3327 0.0000 0.0000
0.0000 6.3327 0.0000
0.0000 0.0000 4.2088
Bi Mo I N
1 1 2 1
direct
0.0000 0.0000 0.0000
0.5000 0.5000 0.5000
0.0000 0.5000 0.0000
0.5000 0.0000 0.0000
0.0000 0.0000 0.5000
```

(4)
Density functional theory data (PBE-GGA) for crystalline BiMoI2N at its relaxed geometry.

Summary:
The energy above the most stable polymorph in this dataset is 0 meV per atom. The value obtained for the uncorrected formation energy is 0.40 eV per atom. The magnetic moment comes out at 0.2231 μB per atom.

Geometry as POSCAR:
```
BiMoI2N
1.0
5.7873 0.0000 0.0000
0.0000 5.7873 0.0000
0.0000 0.0000 3.8469
Bi Mo I N
1 1 2 1
direct
0.0000 0.0000 0.0000
0.5000 0.5000 0.5000
0.0000 0.5000 0.5000
0.5000 0.0000 0.5000
0.5000 0.5000 0.0000
```

Among the records above, which one has the lowest magnetic moment? number 2